[1]
TbDy2ThSc4 | GGA-PBE | relaxed

Cell and atoms, written as POSCAR:
```
TbDy2ThSc4
1.0
-0.683 1.132 4.774
-4.782 -1.259 -0.386
-2.715 -9.809 1.938
Dy Tb Th Sc
2 1 1 4
Direct
0.000 0.000 0.000
0.500 0.000 0.500
0.500 0.500 0.000
0.000 0.500 0.500
0.000 0.248 0.252
0.500 0.252 0.748
0.500 0.748 0.252
0.000 0.752 0.748
```

Values from the calculation:
crystal system	tetragonal



[2]
InPtRh2 | GGA-PBE | relaxed

Cell and atoms, written as POSCAR:
```
InPtRh2
1.0
-0.471 3.466 3.187
-2.709 0.357 -0.788
-1.449 -3.217 3.284
Rh In Pt
2 1 1
Direct
0.000 0.760 0.258
0.000 0.240 0.742
0.500 0.500 0.000
0.500 0.000 0.500
```

Values from the calculation:
crystal system	monoclinic



no.,ΔH_f (0 K) (eV per atom)
1,0.04
2,-0.07